Li2MnFeB2O6 PBE with a Hubbard U optimized geometry; total energy = -7.11 eV per atom
1.0
8.229 0.000 0.000
0.000 3.178 0.000
-0.014 0.000 14.238
Li Mn Fe B O
6 3 3 6 18
Direct
0.000 0.000 0.000
0.024 0.000 0.710
0.081 0.000 0.345
0.502 0.000 0.501
0.530 0.000 0.214
0.581 0.000 0.840
0.195 0.500 0.165
0.236 0.500 0.857
0.677 0.500 0.032
0.181 0.500 0.533
0.691 0.500 0.661
0.744 0.500 0.359
0.369 0.000 0.685
0.370 0.000 0.018
0.371 0.500 0.353
0.869 0.000 0.186
0.869 0.000 0.519
0.869 0.500 0.849
0.008 0.500 0.793
0.019 0.000 0.142
0.024 0.000 0.480
0.217 0.500 0.312
0.228 0.000 0.631
0.230 0.000 0.963
0.357 0.000 0.116
0.360 0.000 0.782
0.382 0.500 0.451
0.510 0.500 0.299
0.520 0.000 0.641
0.522 0.000 0.976
0.716 0.500 0.808
0.728 0.000 0.132
0.732 0.000 0.460
0.848 0.000 0.616
0.860 0.000 0.283
0.885 0.500 0.947